! LiIn2Pd PBE relaxed; values from VASP
&SYSTEM
  ibrav = 0, nat = 4, ntyp = 3
/
ATOMIC_SPECIES
In 114.82 In.upf
Li 6.94 Li.upf
Pd 106.42 Pd.upf
CELL_PARAMETERS angstrom
4.501 0.000 0.000
0.000 4.501 0.000
0.000 0.000 3.631
ATOMIC_POSITIONS crystal
In 0.500 0.000 0.500
In 0.000 0.500 0.500
Li 0.000 0.000 0.000
Pd 0.500 0.500 0.000
! Offset from the most stable computed form = 64 meV/atom
! Electronic total energy = -3.53 eV per atom
! Space group = No. 123
! V = 73.5 Å³/cell